Entry 1:
Here is ScCoSi after structural relaxation from the Alexandria database. Energies are from PBE.

Values from the calculation:
Space group: Cmcm
Final energy: -7.03 eV/atom
Spin magnetization: 0.0 μB/f.u.
Formation energy from raw total energies: -17.110 kcal/mol of atoms

a = 5.268 Å, b = 5.268 Å, c = 5.274 Å
α = 90.00°, β = 90.00°, γ = 142.63°
Positions (direct):
1 Sc 0.191 0.809 0.750
2 Sc 0.809 0.191 0.250
3 Co 0.500 0.500 0.000
4 Co 0.500 0.500 0.500
5 Si 0.092 0.908 0.250
6 Si 0.908 0.092 0.750



Entry 2:
Here is SnPd2Pb after structural relaxation from the Alexandria database. Energies are from PBE.

Values from the calculation:
Space group: I-42d
Final energy: -4.62 eV/atom
Formation energy from the elements: -0.390 eV per formula unit
Spin magnetization: 0.0 μB/f.u.

a = 9.469 Å, b = 9.469 Å, c = 9.469 Å
α = 152.43°, β = 152.43°, γ = 39.39°
Positions (direct):
1 Sn 0.000 0.000 0.000
2 Sn 0.750 0.250 0.500
3 Pd 0.103 0.625 0.978
4 Pd 0.375 0.353 0.478
5 Pd 0.647 0.125 0.022
6 Pd 0.875 0.897 0.522
7 Pb 0.250 0.750 0.500
8 Pb 0.500 0.500 0.000